1.
FeMoCl | PBE-GGA | relaxed

Cell and atoms, written as CIF:
```
data_FeMoCl
_symmetry_space_group_name_H-M 'F -4 3 m'
_symmetry_Int_Tables_number 216
_symmetry_space_group_name_Hall 'F -4 2 3'
_cell_length_a 5.837
_cell_length_b 5.837
_cell_length_c 5.837
_cell_angle_alpha 90.00
_cell_angle_beta 90.00
_cell_angle_gamma 90.00
loop_
_atom_site_label
_atom_site_fract_x
_atom_site_fract_y
_atom_site_fract_z
_atom_site_occupancy
Fe1 0.000 0.000 0.000 1
Mo1 0.250 0.250 0.750 1
Cl1 0.000 0.000 0.500 1
```

Computed properties:
raw formation energy	0.875	eV per atom
crystal system	cubic


2.
LiY2Se | PBE-GGA | relaxed

Cell and atoms, written as CIF:
```
data_LiY2Se
_symmetry_space_group_name_H-M 'P 4 m m'
_symmetry_Int_Tables_number 99
_cell_length_a 4.065
_cell_length_b 4.065
_cell_length_c 5.980
_cell_angle_alpha 90.00
_cell_angle_beta 90.00
_cell_angle_gamma 90.00
loop_
_symmetry_equiv_pos_as_xyz
'x,y,z'
'-y,x,z'
'-x,-y,z'
'y,-x,z'
'-x,y,z'
'y,x,z'
'x,-y,z'
'-y,-x,z'
loop_
_atom_site_label
_atom_site_fract_x
_atom_site_fract_y
_atom_site_fract_z
_atom_site_occupancy
Li1 0.000 0.000 0.000 1
Y1 0.000 0.000 0.487 1
Y2 0.500 0.500 0.840 1
Se1 0.500 0.500 0.344 1
```

Computed properties:
raw formation energy	-0.673	eV per atom
crystal system	tetragonal


3.
CaSnTe2 | PBE-GGA | relaxed

Cell and atoms, written as CIF:
```
data_CaSnTe2
_symmetry_space_group_name_H-M 'R -3 m'
_symmetry_Int_Tables_number 166
_symmetry_space_group_name_Hall '-R 3 2"'
_cell_length_a 3.8647
_cell_length_b 3.8647
_cell_length_c 31.7229
_cell_angle_alpha 90.00
_cell_angle_beta 90.00
_cell_angle_gamma 120.00
loop_
_atom_site_label
_atom_site_fract_x
_atom_site_fract_y
_atom_site_fract_z
_atom_site_occupancy
Ca1 0.0000 0.0000 0.0000 1
Sn1 0.0000 0.0000 0.5000 1
Te1 0.0000 0.0000 0.4018 1
```

Computed properties:
raw formation energy	-0.437	eV per atom
crystal system	trigonal


4.
CeNdYPu | PBE-GGA | relaxed

Cell and atoms, written as CIF:
```
data_CeNdYPu
_symmetry_space_group_name_H-M 'F -4 3 m'
_symmetry_Int_Tables_number 216
_symmetry_space_group_name_Hall 'F -4 2 3'
_cell_length_a 7.928
_cell_length_b 7.928
_cell_length_c 7.928
_cell_angle_alpha 90.00
_cell_angle_beta 90.00
_cell_angle_gamma 90.00
loop_
_atom_site_label
_atom_site_fract_x
_atom_site_fract_y
_atom_site_fract_z
_atom_site_occupancy
Ce1 0.000 0.000 0.000 1
Nd1 0.000 0.000 0.500 1
Y1 0.250 0.250 0.750 1
Pu1 0.250 0.250 0.250 1
```

Computed properties:
crystal system	cubic
formation enthalpy at 0 K	0.209	eV per atom


5.
Pu2NiHg | PBE-GGA | relaxed

Cell and atoms, written as CIF:
```
data_Pu2NiHg
_symmetry_space_group_name_H-M 'F m -3 m'
_symmetry_Int_Tables_number 225
_symmetry_space_group_name_Hall '-F 4 2 3'
_cell_length_a 7.189
_cell_length_b 7.189
_cell_length_c 7.189
_cell_angle_alpha 90.00
_cell_angle_beta 90.00
_cell_angle_gamma 90.00
loop_
_atom_site_label
_atom_site_fract_x
_atom_site_fract_y
_atom_site_fract_z
_atom_site_occupancy
Pu1 0.250 0.250 0.250 1
Ni1 0.000 0.000 0.000 1
Hg1 0.000 0.000 0.500 1
```

Computed properties:
crystal system	cubic
formation enthalpy at 0 K	0.092	eV per atom


6.
In2Te2O7 | PBE-GGA | relaxed

Cell and atoms, written as CIF:
```
data_In2Te2O7
_symmetry_space_group_name_H-M 'I m m 2'
_symmetry_Int_Tables_number 44
_cell_length_a 3.441
_cell_length_b 11.491
_cell_length_c 7.909
_cell_angle_alpha 90.00
_cell_angle_beta 90.00
_cell_angle_gamma 90.00
loop_
_symmetry_equiv_pos_as_xyz
'x,y,z'
'-x,-y,z'
'-x,y,z'
'x,-y,z'
'x+1/2,y+1/2,z+1/2'
'-x+1/2,-y+1/2,z+1/2'
'-x+1/2,y+1/2,z+1/2'
'x+1/2,-y+1/2,z+1/2'
loop_
_atom_site_label
_atom_site_fract_x
_atom_site_fract_y
_atom_site_fract_z
_atom_site_occupancy
In1 0.000 0.000 0.000 1
In2 0.000 0.500 0.082 1
Te1 0.000 0.272 0.667 1
O1 0.000 0.000 0.727 1
O2 0.000 0.123 0.226 1
O3 0.000 0.320 0.032 1
O4 0.000 0.374 0.472 1
```

Computed properties:
raw formation energy	-1.143	eV per atom
crystal system	orthorhombic


7.
ThRuI | PBE-GGA | relaxed

Cell and atoms, written as CIF:
```
data_ThRuI
_symmetry_space_group_name_H-M 'F d d 2'
_symmetry_Int_Tables_number 43
_symmetry_space_group_name_Hall 'F 2 -2d'
_cell_length_a 13.104
_cell_length_b 13.909
_cell_length_c 7.569
_cell_angle_alpha 90.00
_cell_angle_beta 90.00
_cell_angle_gamma 90.00
loop_
_atom_site_label
_atom_site_fract_x
_atom_site_fract_y
_atom_site_fract_z
_atom_site_occupancy
Th1 0.061 0.169 0.000 1
Ru1 0.096 0.455 0.527 1
I1 0.064 0.121 0.558 1
```

Computed properties:
raw formation energy	-0.379	eV per atom
crystal system	orthorhombic


8.
Pr4Cu5Pd2 | PBE-GGA | relaxed

Cell and atoms, written as CIF:
```
data_Pr4Cu5Pd2
_symmetry_space_group_name_H-M 'P 1 2/m 1'
_symmetry_Int_Tables_number 10
_cell_length_a 7.047
_cell_length_b 4.083
_cell_length_c 8.337
_cell_angle_alpha 90.00
_cell_angle_beta 92.33
_cell_angle_gamma 90.00
loop_
_symmetry_equiv_pos_as_xyz
'x,y,z'
'-x,-y,-z'
'-x,y,-z'
'x,-y,z'
loop_
_atom_site_label
_atom_site_fract_x
_atom_site_fract_y
_atom_site_fract_z
_atom_site_occupancy
Pr1 0.213 0.000 0.380 1
Pr2 0.256 0.000 0.917 1
Cu1 0.196 0.500 0.647 1
Cu2 0.454 0.500 0.188 1
Cu3 0.500 0.500 0.500 1
Pd1 0.077 0.500 0.152 1
```

Computed properties:
crystal system	monoclinic
formation enthalpy at 0 K	-0.285	eV per atom


9.
MnSb2Cl | PBE-GGA | relaxed

Cell and atoms, written as CIF:
```
data_MnSb2Cl
_symmetry_space_group_name_H-M 'I -4 2 d'
_symmetry_Int_Tables_number 122
_symmetry_space_group_name_Hall 'I -4 2bw'
_cell_length_a 6.197
_cell_length_b 6.197
_cell_length_c 12.474
_cell_angle_alpha 90.00
_cell_angle_beta 90.00
_cell_angle_gamma 90.00
loop_
_atom_site_label
_atom_site_fract_x
_atom_site_fract_y
_atom_site_fract_z
_atom_site_occupancy
Mn1 0.000 0.000 0.000 1
Sb1 0.153 0.250 0.125 1
Cl1 0.000 0.000 0.500 1
```

Computed properties:
raw formation energy	0.323	eV per atom
crystal system	tetragonal


10.
CuSn3Au | PBE-GGA | relaxed

Cell and atoms, written as CIF:
```
data_CuSn3Au
_symmetry_space_group_name_H-M 'P 1'
_symmetry_Int_Tables_number 1
_cell_length_a 4.080
_cell_length_b 7.241
_cell_length_c 7.864
_cell_angle_alpha 90.90
_cell_angle_beta 90.36
_cell_angle_gamma 105.58
loop_
_symmetry_equiv_pos_as_xyz
'x,y,z'
loop_
_atom_site_label
_atom_site_fract_x
_atom_site_fract_y
_atom_site_fract_z
_atom_site_occupancy
Cu1 0.000 0.000 0.000 1
Cu2 0.406 0.809 0.126 1
Sn1 0.149 0.301 0.771 1
Sn2 0.257 0.508 0.354 1
Sn3 0.443 0.886 0.758 1
Sn4 0.603 0.209 0.142 1
Sn5 0.803 0.600 0.983 1
Sn6 0.963 0.923 0.368 1
Au1 0.595 0.194 0.516 1
Au2 0.812 0.614 0.609 1
```

Computed properties:
crystal system	triclinic
formation enthalpy at 0 K	-0.039	eV per atom


11.
PmSn2Pb2 | PBE-GGA | relaxed

Cell and atoms, written as CIF:
```
data_PmSn2Pb2
_symmetry_space_group_name_H-M 'I 4/m m m'
_symmetry_Int_Tables_number 139
_symmetry_space_group_name_Hall '-I 4 2'
_cell_length_a 4.532
_cell_length_b 4.532
_cell_length_c 15.483
_cell_angle_alpha 90.00
_cell_angle_beta 90.00
_cell_angle_gamma 90.00
loop_
_atom_site_label
_atom_site_fract_x
_atom_site_fract_y
_atom_site_fract_z
_atom_site_occupancy
Pm1 0.000 0.000 0.000 1
Sn1 0.000 0.000 0.409 1
Pb1 0.000 0.500 0.250 1
```

Computed properties:
crystal system	tetragonal
formation enthalpy at 0 K	-0.138	eV per atom


12.
Ti2SeSCl | PBE-GGA | relaxed

Cell and atoms, written as CIF:
```
data_Ti2SeSCl
_symmetry_space_group_name_H-M 'P 4/m m m'
_symmetry_Int_Tables_number 123
_symmetry_space_group_name_Hall '-P 4 2'
_cell_length_a 4.972
_cell_length_b 4.972
_cell_length_c 4.827
_cell_angle_alpha 90.00
_cell_angle_beta 90.00
_cell_angle_gamma 90.00
loop_
_atom_site_label
_atom_site_fract_x
_atom_site_fract_y
_atom_site_fract_z
_atom_site_occupancy
Ti1 0.000 0.500 0.000 1
Se1 0.000 0.000 0.000 1
S1 0.000 0.000 0.500 1
Cl1 0.500 0.500 0.500 1
```

Computed properties:
raw formation energy	0.226	eV per atom
crystal system	tetragonal